PmAlCu2Au4 | GGA-PBE | relaxed

Calculated values
**Total moment**: 0.00 μB per atom
**Energy relative to the elements**: -0.371 eV/atom
**Crystal system**: trigonal

abc: 4.4344 4.4344 26.0596
angles: 90.00 90.00 120.00
Space group R-3m (No. 166, hexagonal axes)
Inequivalent atoms, fractional coordinates:
Pm1 0.0000 0.0000 0.0000 x3
Al1 0.0000 0.0000 0.5000 x3
Cu1 0.0000 0.0000 0.2405 x6
Au1 0.0000 0.0000 0.1323 x6
Au2 0.0000 0.0000 0.3984 x6